No. 1
# VSiBi3 | Alexandria | PBE | optimized geometry
data_VSiBi3
_cell_length_a 5.372
_cell_length_b 5.372
_cell_length_c 5.372
_cell_angle_alpha 90.00
_cell_angle_beta 90.00
_cell_angle_gamma 90.00
_symmetry_space_group_name_H-M 'P 1'
_symmetry_Int_Tables_number 1
loop_
_symmetry_equiv_pos_as_xyz
'x,y,z'
loop_
_atom_site_label
_atom_site_type_symbol
_atom_site_fract_x
_atom_site_fract_y
_atom_site_fract_z
Bi1 Bi 0.500 0.000 0.000
Bi2 Bi 0.000 0.500 0.000
V1 V 0.500 0.500 0.500
Si1 Si 0.000 0.000 0.000
Bi3 Bi 0.000 0.000 0.500
# Magnetization   0.739 μB/atom
# E_form (uncorrected)   96.4 kJ per mole of atoms
# Fermi-level density of states   7.88 states/eV/f.u.

***

No. 2
# K3Er3ZrTe8 | Alexandria | PBE | optimized geometry
data_K3Er3ZrTe8
_cell_length_a 8.724
_cell_length_b 8.721
_cell_length_c 9.824
_cell_angle_alpha 116.35
_cell_angle_beta 90.00
_cell_angle_gamma 120.01
_symmetry_space_group_name_H-M 'P 1'
_symmetry_Int_Tables_number 1
loop_
_symmetry_equiv_pos_as_xyz
'x,y,z'
loop_
_atom_site_label
_atom_site_type_symbol
_atom_site_fract_x
_atom_site_fract_y
_atom_site_fract_z
Te1 Te 0.736 0.472 0.707
Te2 Te 0.771 0.543 0.299
K1 K 0.000 0.500 0.000
Te3 Te 0.229 0.973 0.701
Te4 Te 0.229 0.457 0.701
Te5 Te 0.771 0.027 0.299
Te6 Te 0.744 0.973 0.701
Er1 Er 0.500 0.500 0.500
Er2 Er 0.500 0.000 0.500
K2 K 0.500 0.500 0.000
Er3 Er 0.000 0.500 0.500
K3 K 0.000 0.000 0.000
Te7 Te 0.264 0.528 0.293
Te8 Te 0.256 0.027 0.299
Zr1 Zr 0.000 0.000 0.500
# Magnetization   0.000 μB/atom
# E_form (uncorrected)   -122.3 kJ per mole of atoms

***

No. 3
# Ce2AlH | Alexandria | PBE | optimized geometry
data_Ce2AlH
_cell_length_a 3.187
_cell_length_b 3.187
_cell_length_c 7.217
_cell_angle_alpha 90.00
_cell_angle_beta 90.00
_cell_angle_gamma 90.00
_symmetry_space_group_name_H-M 'P 1'
_symmetry_Int_Tables_number 1
loop_
_symmetry_equiv_pos_as_xyz
'x,y,z'
loop_
_atom_site_label
_atom_site_type_symbol
_atom_site_fract_x
_atom_site_fract_y
_atom_site_fract_z
Ce1 Ce 0.000 0.000 0.196
Ce2 Ce 0.000 0.000 0.804
Al1 Al 0.500 0.500 0.500
H1 H 0.500 0.500 0.000
# Magnetization   0.000 μB/atom
# Fermi-level density of states   5.37 states/eV/f.u.
# Energy   -19.70 eV for the cell shown

***

No. 4
# Sm5Dy2Er12 | Alexandria | PBE | optimized geometry
data_Sm5Dy2Er12
_cell_length_a 6.245
_cell_length_b 9.010
_cell_length_c 13.757
_cell_angle_alpha 128.11
_cell_angle_beta 94.78
_cell_angle_gamma 91.91
_symmetry_space_group_name_H-M 'P 1'
_symmetry_Int_Tables_number 1
loop_
_symmetry_equiv_pos_as_xyz
'x,y,z'
loop_
_atom_site_label
_atom_site_type_symbol
_atom_site_fract_x
_atom_site_fract_y
_atom_site_fract_z
Er1 Er 0.985 0.110 0.269
Er2 Er 0.355 0.393 0.749
Er3 Er 0.400 0.270 0.944
Sm1 Sm 0.274 0.505 0.557
Sm2 Sm 0.122 0.668 0.156
Dy1 Dy 0.455 0.160 0.155
Sm3 Sm 0.000 0.000 0.500
Dy2 Dy 0.545 0.840 0.845
Sm4 Sm 0.726 0.495 0.443
Er4 Er 0.926 0.213 0.048
Er5 Er 0.074 0.787 0.952
Er6 Er 0.180 0.545 0.340
Er7 Er 0.645 0.607 0.251
Sm5 Sm 0.878 0.332 0.844
Er8 Er 0.600 0.730 0.056
Er9 Er 0.496 0.064 0.388
Er10 Er 0.504 0.936 0.612
Er11 Er 0.820 0.455 0.660
Er12 Er 0.015 0.890 0.731
# Magnetization   0.000 μB/atom
# DFT formation energy   63 meV/atom
# Fermi-level density of states   29.48 states/eV/f.u.